Compound: LiNdTmRu
Source: Alexandria via LeMat-Bulk
Functional: PBE-GGA
Structure: relaxed

Unit cell a=7.0139 b=7.0139 c=7.0139 alpha=90.00 beta=90.00 gamma=90.00
Last column: nearest neighbours and their distance in Å.
Space group F-43m (No. 216)
Unique sites:
Li  0.0000  0.0000  0.0000 x4  4 Nd 3.04, 4 Tm 3.04
Nd  0.2500  0.2500  0.7500 x4  4 Li 3.04, 4 Ru 3.04
Tm  0.2500  0.2500  0.2500 x4  4 Li 3.04, 4 Ru 3.04
Ru  0.0000  0.0000  0.5000 x4  4 Nd 3.04, 4 Tm 3.04

Results
**Formation energy from the elements**: -0.2248 eV/atom
**DFT total energy**: -21.3 eV/f.u.